The following is a DFT calculation (PBE) of a relaxed structure of Y2GePIr6.

POSCAR file:
```
Y2GePIr6
1.0
5.448 0.000 0.000
0.000 8.641 0.000
0.000 0.000 7.939
Y Ge P Ir
4 2 2 12
Cartesian
1.362 0.167 1.724
1.362 4.154 1.724
4.086 4.487 6.216
4.086 8.474 6.216
1.362 6.481 6.052
4.086 2.160 1.887
1.362 2.160 5.958
4.086 6.481 1.981
0.057 6.481 0.205
0.058 6.481 3.795
1.362 4.334 4.730
1.362 8.627 4.730
2.666 6.481 3.795
2.667 6.481 0.205
2.780 2.160 7.735
2.782 2.160 4.144
4.086 0.014 3.209
4.086 4.307 3.209
5.390 2.160 4.144
5.391 2.160 7.735
```

D(E_F), states/eV/f.u.: 6.60
Energy relative to the elements, eV per atom: -0.480
SG: No. 59